AcNdV2O8 | PBE with a Hubbard U | optimized geometry

DOS(E_F) (states/eV/atom): 0.00
Symmetry: No. 147
Energy (Ry/atom): -0.5814
Total moment (Bohr magnetons per cell): 0.00

Cell: 5.771 5.771 7.447 Å, 90.00 90.00 120.00°
Fractional positions:
Ac1 0.000 0.000 0.000
Nd1 0.000 0.000 0.500
V1 0.333 0.667 0.797
V2 0.667 0.333 0.203
O1 0.164 0.834 0.726
O2 0.166 0.330 0.726
O3 0.330 0.164 0.274
O4 0.333 0.667 0.022
O5 0.667 0.333 0.978
O6 0.670 0.836 0.726
O7 0.834 0.670 0.274
O8 0.836 0.166 0.274